{"formula": "SmTiS2O", "functional": "PBE-GGA", "state": "optimized geometry", "cell": [[3.7360, 0.0000, 0.0000], [0.0000, 3.7360, 0.0000], [0.0000, 0.0000, 12.9478]], "species": ["Sm", "Sm", "Ti", "Ti", "S", "S", "S", "S", "O", "O"], "fractional_positions": [[0.5000, 0.0000, 0.5983], [0.0000, 0.5000, 0.4017], [0.5000, 0.0000, 0.1011], [0.0000, 0.5000, 0.8989], [0.0000, 0.5000, 0.7213], [0.0000, 0.5000, 0.0932], [0.5000, 0.0000, 0.9068], [0.5000, 0.0000, 0.2787], [0.0000, 0.0000, 0.5000], [0.5000, 0.5000, 0.5000]], "e_form_raw_kj_per_mol_atoms": -201, "magmom_total_mub_per_cell": 0.73, "dft_energy_ev_per_atom": -7.252}